Compound: ZnBI2N
Source: the Alexandria database
Functional: PBE
Structure: relaxed

Cell and atoms, written as POSCAR:
```
ZnBI2N
1.0
5.765 0.000 0.000
0.000 5.765 0.000
0.000 0.000 3.857
I Zn B N
2 1 1 1
Direct
0.000 0.500 0.000
0.500 0.000 0.000
0.000 0.000 0.000
0.500 0.500 0.500
0.000 0.000 0.500
```

Computed properties:
Space-group type: P4/mmm (123)
ΔE_f (raw) (eV/atom): 1.403
D(E_F) (states/eV per cell): 0.96
Total energy (eV/atom): -2.47
Crystal system: tetragonal

***

Compound: ZnBIN2
Source: the Alexandria database
Functional: PBE
Structure: relaxed

Cell and atoms, written as POSCAR:
```
ZnBIN2
1.0
3.463 0.000 0.000
0.000 3.463 0.000
0.000 0.000 6.603
I Zn B N
1 1 1 2
Direct
0.000 0.000 0.500
0.500 0.500 0.500
0.000 0.000 0.000
0.000 0.500 0.000
0.500 0.000 0.000
```

Computed properties:
Space-group type: P4/mmm (123)
ΔE_f (raw) (eV/atom): 1.444
D(E_F) (states/eV per cell): 1.37
Total energy (eV/atom): -3.79
Crystal system: tetragonal

***

Compound: ZnBIN2
Source: the Alexandria database
Functional: PBE
Structure: relaxed

Cell and atoms, written as POSCAR:
```
ZnBIN2
1.0
-0.450 1.202 3.601
-3.090 -2.224 0.356
4.219 -5.485 2.357
I Zn B N
1 1 1 2
Direct
0.000 0.000 0.500
0.000 0.000 0.000
0.500 0.500 0.500
0.000 0.500 0.000
0.500 0.000 0.000
```

Computed properties:
Space-group type: P4/mmm (123)
ΔE_f (raw) (eV/atom): 2.119
D(E_F) (states/eV per cell): 3.32
Total energy (eV/atom): -3.11
Crystal system: tetragonal

***

Compound: Na3BI
Source: the Alexandria database
Functional: PBE
Structure: relaxed

Cell and atoms, written as POSCAR:
```
Na3BI
1.0
5.269 0.000 0.000
0.000 5.269 0.000
0.000 0.000 5.269
I Na B
1 3 1
Direct
0.500 0.500 0.500
0.000 0.500 0.000
0.000 0.000 0.500
0.500 0.000 0.000
0.000 0.000 0.000
```

Computed properties:
Space-group type: Pm-3m (221)
ΔE_f (raw) (eV/atom): 0.254
D(E_F) (states/eV per cell): 0.30
Total energy (eV/atom): -2.18
Crystal system: cubic

***

Compound: NaBI2
Source: the Alexandria database
Functional: PBE
Structure: relaxed

Cell and atoms, written as POSCAR:
```
NaBI2
1.0
0.035 -5.104 -1.950
1.403 -4.159 3.254
-3.786 -3.579 1.645
I Na B
2 1 1
Direct
0.250 0.250 0.250
0.750 0.750 0.750
0.500 0.500 0.500
0.000 0.000 0.000
```

Computed properties:
Space-group type: Fm-3m (225)
ΔE_f (raw) (eV/atom): 0.510
D(E_F) (states/eV per cell): 0.00
Total energy (eV/atom): -2.26
Crystal system: cubic

***

Compound: Na2BI
Source: the Alexandria database
Functional: PBE
Structure: relaxed

Cell and atoms, written as POSCAR:
```
Na2BI
1.0
0.000 3.715 3.715
3.715 0.000 3.715
3.715 3.715 0.000
I Na B
1 2 1
Direct
0.500 0.500 0.500
0.250 0.250 0.250
0.750 0.750 0.750
0.000 0.000 0.000
```

Computed properties:
Space-group type: Fm-3m (225)
ΔE_f (raw) (eV/atom): 0.583
D(E_F) (states/eV per cell): 3.05
Total energy (eV/atom): -2.13
Crystal system: cubic

***

Compound: NaBI2
Source: the Alexandria database
Functional: PBE
Structure: relaxed

Cell and atoms, written as POSCAR:
```
NaBI2
1.0
6.530 0.000 0.000
0.000 6.530 0.000
3.265 3.265 7.128
I Na B
4 2 2
Direct
0.569 0.125 0.250
0.181 0.625 0.250
0.375 0.431 0.750
0.875 0.819 0.750
0.000 0.000 0.000
0.750 0.250 0.500
0.500 0.500 0.000
0.250 0.750 0.500
```

Computed properties:
Space-group type: I-42d (122)
ΔE_f (raw) (eV/atom): 0.288
D(E_F) (states/eV per cell): 0.00
Total energy (eV/atom): -2.49
Crystal system: tetragonal

***

Compound: Na2BI
Source: the Alexandria database
Functional: PBE
Structure: relaxed

Cell and atoms, written as POSCAR:
```
Na2BI
1.0
-5.717 -0.852 -5.648
4.733 -5.180 -4.010
-1.832 -5.590 -3.084
I Na B
2 4 2
Direct
0.000 0.000 0.000
0.750 0.250 0.500
0.574 0.125 0.250
0.176 0.625 0.250
0.375 0.426 0.750
0.875 0.824 0.750
0.500 0.500 0.000
0.250 0.750 0.500
```

Computed properties:
Space-group type: I-42d (122)
ΔE_f (raw) (eV/atom): 0.538
D(E_F) (states/eV per cell): 1.00
Total energy (eV/atom): -2.18
Crystal system: tetragonal

***

Which formula does entry 5 have? NaBI2

***

Please write out number 1 again, unchanged.
Compound: ZnBI2N
Source: the Alexandria database
Functional: PBE
Structure: relaxed

Cell and atoms, written as POSCAR:
```
ZnBI2N
1.0
5.765 0.000 0.000
0.000 5.765 0.000
0.000 0.000 3.857
I Zn B N
2 1 1 1
Direct
0.000 0.500 0.000
0.500 0.000 0.000
0.000 0.000 0.000
0.500 0.500 0.500
0.000 0.000 0.500
```

Computed properties:
Space-group type: P4/mmm (123)
ΔE_f (raw) (eV/atom): 1.403
D(E_F) (states/eV per cell): 0.96
Total energy (eV/atom): -2.47
Crystal system: tetragonal

***

Which value of total energy does entry 3 give? -3.11 eV/atom

***

Which of these has the lowest ΔE_f (raw)? Na3BI